# 1
The following is a DFT calculation (PBE-GGA) of a relaxed TlHg2Cl8 crystal.

abc: 12.7334 8.2609 6.8278
angles: 90.00 106.14 90.00
With the nearest neighbours (Å) after each atom.
Space group C2/m (No. 12)
Symmetry-distinct sites (fractional):
Tl1 0.0000 0.0000 0.0000 (multiplicity 2)  6 Cl 2.48-2.76
Hg1 0.2272 0.0000 0.7338 (multiplicity 4)  3 Cl 2.35-2.51
Cl1 0.0908 0.5000 0.2831 (multiplicity 4)  1 Hg 2.35
Cl2 0.0988 0.2128 0.7939 (multiplicity 8)  1 Hg 2.51, 1 Tl 2.76
Cl3 0.1720 0.0000 0.2824 (multiplicity 4)  1 Tl 2.48

Computed properties:
Energy relative to the elements, uncorrected ... -0.438 eV/atom
Relative energy among the computed polymorphs ... 0 meV/atom

# 2
The following is a DFT calculation (PBE-GGA) of a relaxed La6As2PS3 crystal.

abc: 18.5344 4.2649 8.4868
angles: 90.00 102.96 90.00
With the nearest neighbours (Å) after each atom.
Space group C2/m (No. 12)
Symmetry-distinct sites (fractional):
La1 0.0009 0.0000 0.2557 (multiplicity 4)  2 P 2.98, 3 S 3.00-3.04, 1 As 3.03
La2 0.1648 0.5000 0.5799 (multiplicity 4)  1 P 2.98, 3 S 2.99-3.04, 2 As 3.02
La3 0.1656 0.5000 0.0849 (multiplicity 4)  3 S 2.99, 3 As 3.02-3.03
As1 0.1666 0.0000 0.8332 (multiplicity 4)  6 La 3.02-3.03
P1 0.0000 0.5000 0.5000 (multiplicity 2)  6 La 2.98
S1 0.0000 0.5000 0.0000 (multiplicity 2)  6 La 2.99-3.04
S2 0.1672 0.0000 0.3334 (multiplicity 4)  6 La 2.99-3.04

Computed properties:
Energy relative to the elements, uncorrected ... -1.904 eV/atom

# 3
The following is a DFT calculation (PBE-GGA) of a relaxed TmHf2Cu9 crystal.

abc: 5.0356 5.0356 24.2797
angles: 90.00 90.00 120.00
With the nearest neighbours (Å) after each atom.
Space group R-3m (No. 166, hexagonal axes)
Symmetry-distinct sites (fractional):
Tm1 0.0000 0.0000 0.0000 (multiplicity 3)  18 Cu 2.91-3.25
Hf1 0.0000 0.0000 0.1465 (multiplicity 6)  12 Cu 2.87-2.95, 3 Hf 3.07
Cu1 0.0000 0.0000 0.3329 (multiplicity 6)  6 Cu 2.50-2.54
Cu2 0.0000 0.0000 0.5000 (multiplicity 3)  6 Cu 2.47
Cu3 0.0024 0.5012 0.9152 (multiplicity 18)  7 Cu 2.47-2.54

Computed properties:
Energy of formation from the pure elements ... -0.14 eV/atom

# 4
The following is a DFT calculation (PBE-GGA) of a relaxed RbNaCd3 crystal.

abc: 6.6764 6.6764 6.6764
angles: 90.00 90.00 90.00
With the nearest neighbours (Å) after each atom.
Space group Pm-3m (No. 221)
Symmetry-distinct sites (fractional):
Rb1 0.0000 0.0000 0.0000 (multiplicity 1)  6 Cd 3.34
Na1 0.5000 0.5000 0.5000 (multiplicity 1)  12 Cd 4.72
Cd1 0.0000 0.0000 0.5000 (multiplicity 3)  2 Rb 3.34

Computed properties:
Energy of formation from the pure elements ... 0.47 eV/atom
Relative energy among the computed polymorphs ... 541 meV/atom

# 5
The following is a DFT calculation (PBE-GGA) of a relaxed KZr2As crystal.

abc: 4.3451 4.3451 9.6684
angles: 90.00 90.00 90.00
With the nearest neighbours (Å) after each atom.
Space group I-4m2 (No. 119)
Symmetry-distinct sites (fractional):
K1 0.0000 0.0000 0.0000 (multiplicity 2)  8 Zr 3.07-3.25, 4 As 3.25
Zr1 0.0000 0.0000 0.5000 (multiplicity 2)  4 K 3.07, 4 Zr 3.25, 4 As 3.25
Zr2 0.0000 0.5000 0.7500 (multiplicity 2)  4 As 3.07, 4 Zr 3.25, 4 K 3.25
As1 0.0000 0.5000 0.2500 (multiplicity 2)  8 Zr 3.07-3.25, 4 K 3.25

Computed properties:
Energy of formation from the pure elements ... 0.45 eV/atom

# 6
The following is a DFT calculation (PBE-GGA) of a relaxed HfNbSi crystal.

abc: 6.1790 6.1790 6.1790
angles: 90.00 90.00 90.00
With the nearest neighbours (Å) after each atom.
Space group F-43m (No. 216)
Symmetry-distinct sites (fractional):
Hf1 0.0000 0.0000 0.0000 (multiplicity 4)  4 Si 2.68
Nb1 0.0000 0.0000 0.5000 (multiplicity 4)  4 Si 2.68
Si1 0.2500 0.2500 0.7500 (multiplicity 4)  4 Hf 2.68, 4 Nb 2.68

Computed properties:
Energy relative to the elements, uncorrected ... -0.233 eV/atom

# 7
The following is a DFT calculation (PBE-GGA) of a relaxed SrCu2Tc crystal.

abc: 9.9045 2.8001 5.3847
angles: 90.00 106.51 90.00
With the nearest neighbours (Å) after each atom.
Space group Cm (No. 8)
Symmetry-distinct sites (fractional):
Sr1 0.0000 0.0000 0.0000 (multiplicity 2)  2 Sr 2.80, 7 Cu 2.90-3.13
Cu1 0.0178 0.5000 0.4912 (multiplicity 2)  4 Cu 2.55-2.80, 3 Tc 2.65-2.82
Cu2 0.2248 0.0000 0.7520 (multiplicity 2)  4 Cu 2.55-2.80, 2 Tc 2.60
Tc1 0.2807 0.5000 0.3863 (multiplicity 2)  5 Cu 2.60-2.82, 2 Tc 2.80

Computed properties:
Energy of formation from the pure elements ... 0.57 eV/atom
Relative energy among the computed polymorphs ... 260 meV/atom

# 8
The following is a DFT calculation (PBE-GGA) of a relaxed K2ScPCO7 crystal.

abc: 5.7250 6.8966 9.8940
angles: 90.00 90.67 90.00
With the nearest neighbours (Å) after each atom.
Space group P2_1/m (No. 11)
Symmetry-distinct sites (fractional):
K1 0.2484 0.0183 0.2742 (multiplicity 4)  4 O 2.58-2.83
Sc1 0.2180 0.2500 0.8675 (multiplicity 2)  6 O 2.07-2.20
P1 0.2749 0.7500 0.9368 (multiplicity 2)  4 O 1.55-1.57
C1 0.2652 0.2500 0.6063 (multiplicity 2)  3 O 1.25-1.33
O1 0.0595 0.2500 0.6643 (multiplicity 2)  1 C 1.32
O2 0.1281 0.7500 0.0690 (multiplicity 2)  1 P 1.56
O3 0.2180 0.5642 0.8546 (multiplicity 4)  1 P 1.55
O4 0.2950 0.2500 0.4810 (multiplicity 2)  1 C 1.25
O5 0.4411 0.2500 0.6951 (multiplicity 2)  1 C 1.33
O6 0.4583 0.2500 0.0248 (multiplicity 2)  1 P 1.57

Computed properties:
Energy relative to the elements, uncorrected ... -2.354 eV/atom

Number 1: D(E_F) 24.33 states/eV/cell. Number 2: D(E_F) 9.62 states/eV/cell. Number 3: D(E_F) 28.25 states/eV/cell. Number 4: D(E_F) 3.24 states/eV/cell. Number 5: D(E_F) 10.14 states/eV/cell. Number 6: D(E_F) 5.31 states/eV/cell. Number 7: D(E_F) 6.12 states/eV/cell. Number 8: D(E_F) 0.00 states/eV/cell.